This record from Alexandria describes a geometry-optimized ThV4O12 structure. The functional is PBE with a Hubbard U.

Cell: 16.049 16.049 16.049 Å, 148.34 148.34 45.38°
Fractional coordinates of all 68 atoms:
O (0.868, 0.609, 0.868)
O (0.125, 0.058, 0.433)
O (0.336, 0.836, 0.500)
O (0.023, 0.856, 0.308)
V (0.933, 0.218, 0.002)
O (0.644, 0.477, 0.692)
O (0.586, 0.586, 0.000)
O (0.202, 0.535, 0.808)
O (0.250, 0.491, 0.632)
O (0.048, 0.356, 0.833)
O (0.164, 0.664, 0.500)
O (0.523, 0.215, 0.167)
O (0.125, 0.558, 0.933)
O (0.606, 0.798, 0.333)
O (0.308, 0.875, 0.933)
O (0.664, 0.164, 0.500)
O (0.836, 0.336, 0.500)
O (0.227, 0.035, 0.333)
O (0.965, 0.298, 0.192)
V (0.817, 0.032, 0.498)
O (0.727, 0.394, 0.192)
O (0.548, 0.715, 0.692)
V (0.968, 0.466, 0.785)
O (0.942, 0.375, 0.067)
O (0.625, 0.692, 0.567)
V (0.468, 0.683, 0.502)
O (0.702, 0.894, 0.667)
V (0.716, 0.718, 0.285)
O (0.382, 0.750, 0.241)
O (0.741, 0.000, 0.132)
V (0.569, 0.284, 0.002)
O (0.625, 0.192, 0.067)
V (0.034, 0.532, 0.215)
O (0.882, 0.641, 0.632)
O (0.359, 0.991, 0.241)
O (0.509, 0.141, 0.759)
O (0.914, 0.914, 0.000)
V (0.681, 0.183, 0.215)
O (0.106, 0.773, 0.808)
O (0.891, 0.632, 0.132)
O (0.285, 0.977, 0.833)
O (0.808, 0.875, 0.433)
O (0.009, 0.250, 0.368)
Th (0.500, 0.000, 0.500)
Th (0.250, 0.250, 0.000)
O (0.785, 0.952, 0.308)
V (0.216, 0.931, 0.998)
O (0.859, 0.618, 0.368)
Th (0.750, 0.750, 0.000)
V (0.534, 0.319, 0.502)
O (0.391, 0.259, 0.259)
O (0.086, 0.086, 0.000)
O (0.368, 0.500, 0.259)
O (0.750, 0.118, 0.759)
O (0.414, 0.414, 0.000)
O (0.000, 0.132, 0.741)
Th (0.000, 0.500, 0.500)
O (0.465, 0.273, 0.667)
V (0.317, 0.819, 0.785)
V (0.433, 0.431, 0.715)
V (0.282, 0.567, 0.998)
V (0.069, 0.067, 0.285)
O (0.241, 0.109, 0.741)
O (0.442, 0.375, 0.567)
O (0.500, 0.759, 0.868)
V (0.181, 0.966, 0.498)
O (0.144, 0.452, 0.167)
V (0.782, 0.784, 0.715)

Summary:
As for the total energy: -7.915 eV per atom.